DFT (GGA-PBE) results for a geometry-optimized NaSr2Mg12Hg3 structure.

The calculation puts the energy of formation at 0.148 eV per atom. As for the density of states at the Fermi level: 35.94 states/eV per cell. For the theoretical density, the calculation gives 3.31 Mg/m³. As for the total magnetic moment: 0.000 μB/f.u. The value obtained for the volume is 547.8 Å³/f.u. For the raw total energy, the calculation gives -1.23 eV per atom.

The space group is R-3m (No. 166, hexagonal axes) and the conventional cell measures 8.9832, 8.9832 and 23.5170 Å, with angles of 90.00, 90.00 and 120.00 degrees. The distinct sites, in fractional coordinates, are Na at (0.0000, 0.0000, 0.0000), Sr at (0.0000, 0.0000, 0.4167), Mg at (0.0856, 0.5428, 0.3719), Mg at (0.0929, 0.5465, 0.7691) and Hg at (0.0000, 0.5000, 0.5000).